[1]
A geometry-optimized ZrScAu2Br structure. Source: Alexandria via LeMat-Bulk, functional GGA-PBE.

Cell and atoms, written as POSCAR:
```
ZrScAu2Br
1.0
5.141 0.000 0.000
0.000 5.141 0.000
0.000 0.000 4.887
Zr Sc Au Br
1 1 2 1
Direct
0.000 0.000 0.000 Zr
0.500 0.500 0.500 Sc
0.000 0.500 0.500 Au
0.500 0.000 0.500 Au
0.500 0.500 0.000 Br
```

Formation energy from raw total energies in kJ per mole of atoms: 20.65



[2]
A geometry-optimized LiGePdAu structure. Source: Alexandria via LeMat-Bulk, functional GGA-PBE.

Cell and atoms, written as POSCAR:
```
LiGePdAu
1.0
6.251 0.000 0.000
0.000 6.251 0.000
0.000 0.000 6.251
Li Ge Pd Au
4 4 4 4
Direct
0.000 0.000 0.000 Li
0.000 0.500 0.500 Li
0.500 0.000 0.500 Li
0.500 0.500 0.000 Li
0.000 0.000 0.500 Ge
0.000 0.500 0.000 Ge
0.500 0.000 0.000 Ge
0.500 0.500 0.500 Ge
0.250 0.250 0.750 Pd
0.250 0.750 0.250 Pd
0.750 0.250 0.250 Pd
0.750 0.750 0.750 Pd
0.250 0.250 0.250 Au
0.250 0.750 0.750 Au
0.750 0.250 0.750 Au
0.750 0.750 0.250 Au
```

E_form in eV per atom: -0.413



[3]
A geometry-optimized Tb5PrSmTh2 structure. Source: Alexandria via LeMat-Bulk, functional GGA-PBE.

Cell and atoms, written as POSCAR:
```
Tb5PrSmTh2
1.0
-4.458 4.458 7.669
4.458 -4.458 7.669
4.458 4.458 -7.669
Tb Pr Sm Th
10 2 2 4
Direct
0.000 0.000 0.000 Tb
0.070 0.570 0.913 Tb
0.157 0.070 0.500 Tb
0.343 0.843 0.913 Tb
0.430 0.343 0.500 Tb
0.500 0.500 0.000 Tb
0.570 0.657 0.500 Tb
0.657 0.157 0.087 Tb
0.843 0.930 0.500 Tb
0.930 0.430 0.087 Tb
0.250 0.250 0.000 Pr
0.750 0.750 0.000 Pr
0.250 0.750 0.500 Sm
0.750 0.250 0.500 Sm
0.119 0.381 0.500 Th
0.381 0.881 0.263 Th
0.619 0.119 0.737 Th
0.881 0.619 0.500 Th
```

E_form in eV per atom: 0.319



[4]
A geometry-optimized HgSbIF2 structure. Source: Alexandria via LeMat-Bulk, functional GGA-PBE.

Cell and atoms, written as POSCAR:
```
HgSbIF2
1.0
4.438 0.000 0.000
0.000 4.438 0.000
0.000 0.000 5.947
Hg Sb I F
1 1 1 2
Direct
0.000 0.000 0.000 Hg
0.000 0.000 0.500 Sb
0.500 0.500 0.000 I
0.000 0.500 0.500 F
0.500 0.000 0.500 F
```

Formation energy from raw total energies in kJ per mole of atoms: -118.61



[5]
A geometry-optimized LiSmHoZn structure. Source: Alexandria via LeMat-Bulk, functional GGA-PBE.

Cell and atoms, written as POSCAR:
```
LiSmHoZn
1.0
7.273 0.000 0.000
0.000 7.273 0.000
0.000 0.000 7.273
Li Sm Ho Zn
4 4 4 4
Direct
0.000 0.000 0.000 Li
0.000 0.500 0.500 Li
0.500 0.000 0.500 Li
0.500 0.500 0.000 Li
0.250 0.250 0.750 Sm
0.250 0.750 0.250 Sm
0.750 0.250 0.250 Sm
0.750 0.750 0.750 Sm
0.250 0.250 0.250 Ho
0.250 0.750 0.750 Ho
0.750 0.250 0.750 Ho
0.750 0.750 0.250 Ho
0.000 0.000 0.500 Zn
0.000 0.500 0.000 Zn
0.500 0.000 0.000 Zn
0.500 0.500 0.500 Zn
```

E_form in eV per atom: -0.113
Polymorph energy (0 for the lowest one) in meV/atom: 5.8



[6]
A geometry-optimized BaSrCd2Ag2 structure. Source: Alexandria via LeMat-Bulk, functional GGA-PBE.

Cell and atoms, written as POSCAR:
```
BaSrCd2Ag2
1.0
5.036 0.000 0.000
-2.518 4.361 0.000
0.000 0.000 8.293
Ba Sr Cd Ag
1 1 2 2
Direct
0.000 0.000 0.000 Ba
0.000 0.000 0.500 Sr
0.333 0.667 0.277 Cd
0.667 0.333 0.723 Cd
0.333 0.667 0.720 Ag
0.667 0.333 0.280 Ag
```

E_form in eV per atom: -0.307



| no. | calculated total energy (eV/cell) | DOS at the Fermi energy (states/eV/cell) | total moment (μB per atom) |
| --- | --- | --- | --- |
| 1 | -22.0 | 4.7 | 0.357 |
| 2 | -66.6 | 11.7 | 0.000 |
| 3 | -89.2 | 25.6 | 0.000 |
| 4 | -15.9 | 1.3 | 0.000 |
| 5 | -51.7 | 21.6 | 0.000 |
| 6 | -13.0 | 3.8 | 0.000 |